DFT (GGA-PBEsol) results for a relaxed TaTlGa3 crystal.

Cell and atoms, written as CIF:
```
data_TaTlGa3
_chemical_formula_sum 'Ta1 Tl1 Ga3'
_cell_length_a 5.0422
_cell_length_b 5.0422
_cell_length_c 5.0422
_cell_angle_alpha 90.00
_cell_angle_beta 90.00
_cell_angle_gamma 90.00
_space_group_name_H-M_alt 'P 1'
_space_group_IT_number 1
_space_group_name_Hall 'P 1'
loop_
_atom_site_label
_atom_site_fract_x
_atom_site_fract_y
_atom_site_fract_z
Ga1 0.0000 0.0000 0.5000
Tl1 0.5000 0.5000 0.5000
Ta1 0.0000 0.0000 0.0000
Ga2 0.5000 0.0000 0.0000
Ga3 0.0000 0.5000 0.0000
```

SG = Pm-3m
excess energy over the best structure of this formula in the dataset = 0.000 eV per atom
electronic total energy = -22.8 eV per cell
theoretical density = 7.7 g/cm³

DFT (GGA-PBEsol) results for a relaxed TaTlGa3 crystal.

Cell and atoms, written as CIF:
```
data_TaTlGa3
_chemical_formula_sum 'Ta1 Tl1 Ga3'
_cell_length_a 5.0192
_cell_length_b 5.0192
_cell_length_c 5.0192
_cell_angle_alpha 90.00
_cell_angle_beta 90.00
_cell_angle_gamma 90.00
_space_group_name_H-M_alt 'P 1'
_space_group_IT_number 1
_space_group_name_Hall 'P 1'
loop_
_atom_site_label
_atom_site_fract_x
_atom_site_fract_y
_atom_site_fract_z
Ga1 0.0000 0.5000 0.0000
Ga2 0.0000 0.0000 0.5000
Ga3 0.5000 0.0000 0.0000
Tl1 0.0000 0.0000 0.0000
Ta1 0.5000 0.5000 0.5000
```

SG = Pm-3m
excess energy over the best structure of this formula in the dataset = 1.089 eV per atom
electronic total energy = -17.4 eV per cell
theoretical density = 7.8 g/cm³

DFT (GGA-PBEsol) results for a relaxed TaTl2Ga crystal.

Cell and atoms, written as CIF:
```
data_TaTl2Ga
_chemical_formula_sum 'Ta1 Tl2 Ga1'
_cell_length_a 4.9615
_cell_length_b 4.9615
_cell_length_c 4.9615
_cell_angle_alpha 60.00
_cell_angle_beta 60.00
_cell_angle_gamma 60.00
_space_group_name_H-M_alt 'P 1'
_space_group_IT_number 1
_space_group_name_Hall 'P 1'
loop_
_atom_site_label
_atom_site_fract_x
_atom_site_fract_y
_atom_site_fract_z
Ta1 0.5000 0.5000 0.5000
Tl1 0.2500 0.2500 0.2500
Ga1 0.0000 0.0000 0.0000
Tl2 0.7500 0.7500 0.7500
```

SG = Fm-3m
electronic total energy = -17.9 eV per cell
theoretical density = 12.7 g/cm³

DFT (GGA-PBEsol) results for a relaxed Ta2Ga2W crystal.

Cell and atoms, written as CIF:
```
data_Ta2Ga2W
_chemical_formula_sum 'Ta4 Ga4 W2'
_cell_length_a 3.4978
_cell_length_b 6.6972
_cell_length_c 6.6972
_cell_angle_alpha 90.00
_cell_angle_beta 90.00
_cell_angle_gamma 90.00
_space_group_name_H-M_alt 'P 1'
_space_group_IT_number 1
_space_group_name_Hall 'P 1'
loop_
_atom_site_label
_atom_site_fract_x
_atom_site_fract_y
_atom_site_fract_z
Ta1 0.5000 0.3254 0.1746
W1 0.0000 0.5000 0.5000
Ga1 0.0000 0.3723 0.8723
Ta2 0.5000 0.1746 0.6746
Ga2 0.0000 0.1277 0.3723
Ta3 0.5000 0.6746 0.8254
Ga3 0.0000 0.6277 0.1277
W2 0.0000 0.0000 0.0000
Ga4 0.0000 0.8723 0.6277
Ta4 0.5000 0.8254 0.3254
```

SG = P4/mbm
electronic total energy = -93.1 eV per cell
theoretical density = 14.5 g/cm³

DFT (GGA-PBEsol) results for a relaxed Tb3Ga5 crystal.

Cell and atoms, written as CIF:
```
data_Tb3Ga5
_chemical_formula_sum 'Tb12 Ga20'
_cell_length_a 6.0332
_cell_length_b 9.5603
_cell_length_c 11.3366
_cell_angle_alpha 90.00
_cell_angle_beta 90.00
_cell_angle_gamma 90.00
_space_group_name_H-M_alt 'P 1'
_space_group_IT_number 1
_space_group_name_Hall 'P 1'
loop_
_atom_site_label
_atom_site_fract_x
_atom_site_fract_y
_atom_site_fract_z
Ga1 0.3743 0.5531 0.5898
Tb1 0.3897 0.0096 0.8517
Tb2 0.6103 0.9904 0.1483
Ga2 0.6257 0.4469 0.4102
Ga3 0.3743 0.9469 0.5898
Ga4 0.4017 0.2500 0.3010
Ga5 0.3267 0.7500 0.2477
Ga6 0.8267 0.2500 0.2523
Ga7 0.1733 0.7500 0.7477
Tb3 0.6103 0.5096 0.1483
Ga8 0.8743 0.4469 0.9102
Ga9 0.5983 0.7500 0.6990
Tb4 0.3897 0.4904 0.8517
Tb5 0.1103 0.4904 0.3517
Ga10 0.1329 0.7500 0.4949
Tb6 0.1541 0.2500 0.0744
Tb7 0.6541 0.7500 0.4256
Tb8 0.8897 0.5096 0.6483
Ga11 0.6733 0.2500 0.7523
Ga12 0.8743 0.0531 0.9102
Ga13 0.1257 0.9469 0.0898
Ga14 0.6257 0.0531 0.4102
Ga15 0.6329 0.2500 0.0051
Tb9 0.3459 0.2500 0.5744
Tb10 0.1103 0.0096 0.3517
Tb11 0.8459 0.7500 0.9256
Ga16 0.8671 0.2500 0.5051
Ga17 0.0983 0.2500 0.8010
Ga18 0.1257 0.5531 0.0898
Tb12 0.8897 0.9904 0.6483
Ga19 0.9017 0.7500 0.1990
Ga20 0.3671 0.7500 0.9949
```

SG = Pnma
electronic total energy = -149.6 eV per cell
theoretical density = 8.4 g/cm³

DFT (GGA-PBEsol) results for a relaxed TbGa3 crystal.

Cell and atoms, written as CIF:
```
data_TbGa3
_chemical_formula_sum 'Tb1 Ga3'
_cell_length_a 4.2082
_cell_length_b 4.2082
_cell_length_c 4.2082
_cell_angle_alpha 90.00
_cell_angle_beta 90.00
_cell_angle_gamma 90.00
_space_group_name_H-M_alt 'P 1'
_space_group_IT_number 1
_space_group_name_Hall 'P 1'
loop_
_atom_site_label
_atom_site_fract_x
_atom_site_fract_y
_atom_site_fract_z
Ga1 0.0000 0.5000 0.5000
Ga2 0.5000 0.0000 0.5000
Tb1 0.0000 0.0000 0.0000
Ga3 0.5000 0.5000 0.0000
```

SG = Pm-3m
electronic total energy = -17.4 eV per cell
theoretical density = 8.2 g/cm³

DFT (GGA-PBEsol) results for a relaxed TbGa2 crystal.

Cell and atoms, written as CIF:
```
data_TbGa2
_chemical_formula_sum 'Tb1 Ga2'
_cell_length_a 4.0323
_cell_length_b 4.1622
_cell_length_c 4.1622
_cell_angle_alpha 120.00
_cell_angle_beta 90.00
_cell_angle_gamma 90.00
_space_group_name_H-M_alt 'P 1'
_space_group_IT_number 1
_space_group_name_Hall 'P 1'
loop_
_atom_site_label
_atom_site_fract_x
_atom_site_fract_y
_atom_site_fract_z
Tb1 0.0000 0.0000 0.0000
Ga1 0.5000 0.3333 0.6667
Ga2 0.5000 0.6667 0.3333
```

SG = P6/mmm
electronic total energy = -13.8 eV per cell
theoretical density = 8.2 g/cm³

DFT (GGA-PBEsol) results for a relaxed TbGa3 crystal.

Cell and atoms, written as CIF:
```
data_TbGa3
_chemical_formula_sum 'Tb2 Ga6'
_cell_length_a 4.4786
_cell_length_b 6.1900
_cell_length_c 6.1900
_cell_angle_alpha 120.00
_cell_angle_beta 90.00
_cell_angle_gamma 90.00
_space_group_name_H-M_alt 'P 1'
_space_group_IT_number 1
_space_group_name_Hall 'P 1'
loop_
_atom_site_label
_atom_site_fract_x
_atom_site_fract_y
_atom_site_fract_z
Ga1 0.2500 0.1473 0.2946
Ga2 0.7500 0.2946 0.1473
Ga3 0.7500 0.8527 0.1473
Ga4 0.2500 0.7054 0.8527
Tb1 0.7500 0.3333 0.6667
Ga5 0.2500 0.1473 0.8527
Ga6 0.7500 0.8527 0.7054
Tb2 0.2500 0.6667 0.3333
```

SG = P6_3/mmc
electronic total energy = -34.9 eV per cell
theoretical density = 8.2 g/cm³

DFT (GGA-PBEsol) results for a relaxed Tb3Ga2 crystal.

Cell and atoms, written as CIF:
```
data_Tb3Ga2
_chemical_formula_sum 'Tb24 Ga16'
_cell_length_a 10.9553
_cell_length_b 10.9553
_cell_length_c 10.9553
_cell_angle_alpha 95.46
_cell_angle_beta 116.90
_cell_angle_gamma 116.90
_space_group_name_H-M_alt 'P 1'
_space_group_IT_number 1
_space_group_name_Hall 'P 1'
loop_
_atom_site_label
_atom_site_fract_x
_atom_site_fract_y
_atom_site_fract_z
Ga1 0.7328 0.1164 0.6164
Ga2 0.5000 0.0249 0.8807
Ga3 0.8558 0.8807 0.3807
Tb1 0.8655 0.1643 0.4324
Tb2 0.1345 0.5669 0.2988
Tb3 0.5000 0.8315 0.6685
Ga4 0.1442 0.1193 0.6193
Ga5 0.1442 0.5249 0.0249
Tb4 0.5000 0.8516 0.3516
Ga6 0.5000 0.3836 0.1164
Ga7 0.0000 0.7500 0.7500
Tb5 0.1345 0.0676 0.3357
Tb6 0.8655 0.2012 0.9331
Tb7 0.2681 0.0669 0.9324
Tb8 0.7319 0.2988 0.1643
Ga8 0.5000 0.3807 0.5249
Tb9 0.2681 0.7012 0.8357
Ga9 0.0000 0.2500 0.2500
Tb10 0.7319 0.6643 0.7988
Tb11 0.5000 0.6484 0.1484
Tb12 0.7319 0.5676 0.4331
Tb13 0.2681 0.3357 0.2012
Ga10 0.0000 0.0000 0.0000
Ga11 0.5000 0.9751 0.1193
Ga12 0.8558 0.4751 0.9751
Tb14 0.1630 0.3315 0.8315
Ga13 0.5000 0.6193 0.4751
Ga14 0.0000 0.5000 0.5000
Tb15 0.5000 0.1685 0.3315
Tb16 0.8370 0.6685 0.1685
Tb17 0.5000 0.3516 0.8516
Tb18 0.8655 0.4331 0.7012
Tb19 0.2681 0.4324 0.5669
Ga15 0.2672 0.8836 0.3836
Tb20 0.5000 0.1484 0.6484
Tb21 0.1345 0.7988 0.0669
Tb22 0.8655 0.9324 0.6643
Tb23 0.7319 0.9331 0.0676
Tb24 0.1345 0.8357 0.5676
Ga16 0.5000 0.6164 0.8836
```

SG = I4/mcm
electronic total energy = -195.8 eV per cell
theoretical density = 8.5 g/cm³

DFT (GGA-PBEsol) results for a relaxed TbGa crystal.

Cell and atoms, written as CIF:
```
data_TbGa
_chemical_formula_sum 'Tb2 Ga2'
_cell_length_a 4.0062
_cell_length_b 4.2965
_cell_length_c 5.8136
_cell_angle_alpha 68.31
_cell_angle_beta 90.00
_cell_angle_gamma 90.00
_space_group_name_H-M_alt 'P 1'
_space_group_IT_number 1
_space_group_name_Hall 'P 1'
loop_
_atom_site_label
_atom_site_fract_x
_atom_site_fract_y
_atom_site_fract_z
Tb1 0.7500 0.8597 0.2806
Ga1 0.7500 0.5753 0.8493
Tb2 0.2500 0.1403 0.7194
Ga2 0.2500 0.4247 0.1507
```

SG = Cmcm
electronic total energy = -19.3 eV per cell
theoretical density = 8.2 g/cm³

Number 1: E_form 0.479 eV per atom. Number 2: E_form 1.568 eV per atom. Number 3: E_form 0.821 eV per atom. Number 4: E_form -0.195 eV per atom. Number 5: E_form -0.710 eV per atom. Number 6: E_form -0.584 eV per atom. Number 7: E_form -0.713 eV per atom. Number 8: E_form -0.605 eV per atom. Number 9: E_form -0.554 eV per atom. Number 10: E_form -0.652 eV per atom.